# CuPt | Alexandria via LeMat-Bulk | PBE-GGA | relaxed
data_CuPt
_chemical_formula_sum 'Cu4 Pt4'
_symmetry_space_group_name_H-M 'P 42/m n m'
_symmetry_Int_Tables_number 136
_symmetry_space_group_name_Hall '-P 4n 2n'
_cell_length_a 4.940
_cell_length_b 4.940
_cell_length_c 5.061
_cell_angle_alpha 90.00
_cell_angle_beta 90.00
_cell_angle_gamma 90.00
loop_
_atom_site_label
_atom_site_fract_x
_atom_site_fract_y
_atom_site_fract_z
Cu1 0.189 0.189 0.000
Pt1 0.192 0.192 0.500
# Calculated total energy (eV per atom): -4.77
# ΔH_f (0 K) (meV per atom): 294